Record 1
# PBE Dy2TmZn, optimized geometry
# crystal system	tetragonal
# symmetry	P4/mmm (123)
# energy of formation from the pure elements	-5	meV/atom
# energy relative to the lowest polymorph listed for this composition	151.9	meV/atom
data_Dy2TmZn
_symmetry_space_group_name_H-M 'P 1'
_symmetry_Int_Tables_number 1
_symmetry_space_group_name_Hall 'P 1'
_cell_length_a 5.276
_cell_length_b 5.276
_cell_length_c 3.812
_cell_angle_alpha 90.00
_cell_angle_beta 90.00
_cell_angle_gamma 90.00
loop_
_atom_site_label
_atom_site_fract_x
_atom_site_fract_y
_atom_site_fract_z
_atom_site_occupancy
Dy1 0.000 0.500 0.000 1
Dy2 0.500 0.000 0.000 1
Tm1 0.000 0.000 0.500 1
Zn1 0.500 0.500 0.500 1

---

Record 2
# PBE NaTbTc2O8, optimized geometry
# crystal system	trigonal
# symmetry	P-3m1 (164)
data_NaTbTc2O8
_symmetry_space_group_name_H-M 'P 1'
_symmetry_Int_Tables_number 1
_symmetry_space_group_name_Hall 'P 1'
_cell_length_a 5.959
_cell_length_b 5.959
_cell_length_c 6.874
_cell_angle_alpha 90.00
_cell_angle_beta 90.00
_cell_angle_gamma 120.00
loop_
_atom_site_label
_atom_site_fract_x
_atom_site_fract_y
_atom_site_fract_z
_atom_site_occupancy
Na1 0.000 0.000 0.000 1
Tb1 0.000 0.000 0.500 1
Tc1 0.333 0.667 0.797 1
Tc2 0.667 0.333 0.203 1
O1 0.168 0.337 0.711 1
O2 0.168 0.832 0.711 1
O3 0.333 0.667 0.050 1
O4 0.337 0.168 0.289 1
O5 0.663 0.832 0.711 1
O6 0.667 0.333 0.950 1
O7 0.832 0.168 0.289 1
O8 0.832 0.663 0.289 1

---

Record 3
# PBE Tl2FeTe2, optimized geometry
# crystal system	tetragonal
# symmetry	I4/mmm (139)
data_Tl2FeTe2
_symmetry_space_group_name_H-M 'P 1'
_symmetry_Int_Tables_number 1
_symmetry_space_group_name_Hall 'P 1'
_cell_length_a 4.200
_cell_length_b 4.200
_cell_length_c 17.040
_cell_angle_alpha 90.00
_cell_angle_beta 90.00
_cell_angle_gamma 90.00
loop_
_atom_site_label
_atom_site_fract_x
_atom_site_fract_y
_atom_site_fract_z
_atom_site_occupancy
Tl1 0.000 0.500 0.250 1
Tl2 0.000 0.500 0.750 1
Tl3 0.500 0.000 0.250 1
Tl4 0.500 0.000 0.750 1
Fe1 0.000 0.000 0.000 1
Fe2 0.500 0.500 0.500 1
Te1 0.000 0.000 0.414 1
Te2 0.000 0.000 0.586 1
Te3 0.500 0.500 0.086 1
Te4 0.500 0.500 0.914 1

---

Record 4
# PBE AlP2Pt, optimized geometry
# crystal system	trigonal
# symmetry	R-3m (166)
# energy of formation from the pure elements	-248	meV/atom
data_AlP2Pt
_symmetry_space_group_name_H-M 'P 1'
_symmetry_Int_Tables_number 1
_symmetry_space_group_name_Hall 'P 1'
_cell_length_a 3.659
_cell_length_b 3.659
_cell_length_c 16.753
_cell_angle_alpha 90.00
_cell_angle_beta 90.00
_cell_angle_gamma 120.00
loop_
_atom_site_label
_atom_site_fract_x
_atom_site_fract_y
_atom_site_fract_z
_atom_site_occupancy
Al1 0.000 0.000 0.000 1
Al2 0.333 0.667 0.667 1
Al3 0.667 0.333 0.333 1
P1 0.000 0.000 0.244 1
P2 0.000 0.000 0.756 1
P3 0.333 0.667 0.423 1
P4 0.333 0.667 0.911 1
P5 0.667 0.333 0.089 1
P6 0.667 0.333 0.577 1
Pt1 0.000 0.000 0.500 1
Pt2 0.333 0.667 0.167 1
Pt3 0.667 0.333 0.833 1

---

Record 5
# PBE CrCdIr, optimized geometry
# crystal system	cubic
# symmetry	F-43m (216)
# energy of formation from the pure elements	532	meV/atom
# energy relative to the lowest polymorph listed for this composition	416.5	meV/atom
data_CrCdIr
_symmetry_space_group_name_H-M 'P 1'
_symmetry_Int_Tables_number 1
_symmetry_space_group_name_Hall 'P 1'
_cell_length_a 6.160
_cell_length_b 6.160
_cell_length_c 6.160
_cell_angle_alpha 90.00
_cell_angle_beta 90.00
_cell_angle_gamma 90.00
loop_
_atom_site_label
_atom_site_fract_x
_atom_site_fract_y
_atom_site_fract_z
_atom_site_occupancy
Cr1 0.000 0.000 0.000 1
Cr2 0.000 0.500 0.500 1
Cr3 0.500 0.000 0.500 1
Cr4 0.500 0.500 0.000 1
Cd1 0.000 0.000 0.500 1
Cd2 0.000 0.500 0.000 1
Cd3 0.500 0.000 0.000 1
Cd4 0.500 0.500 0.500 1
Ir1 0.250 0.250 0.250 1
Ir2 0.250 0.750 0.750 1
Ir3 0.750 0.250 0.750 1
Ir4 0.750 0.750 0.250 1

---

Record 6
# PBE TmMg3Ni8, optimized geometry
# crystal system	trigonal
# symmetry	R3m (160)
# energy of formation from the pure elements	-310	meV/atom
data_TmMg3Ni8
_symmetry_space_group_name_H-M 'P 1'
_symmetry_Int_Tables_number 1
_symmetry_space_group_name_Hall 'P 1'
_cell_length_a 8.432
_cell_length_b 8.432
_cell_length_c 8.432
_cell_angle_alpha 33.64
_cell_angle_beta 33.64
_cell_angle_gamma 33.64
loop_
_atom_site_label
_atom_site_fract_x
_atom_site_fract_y
_atom_site_fract_z
_atom_site_occupancy
Tm1 0.000 0.000 0.000 1
Mg1 0.381 0.381 0.381 1
Mg2 0.502 0.502 0.502 1
Mg3 0.872 0.872 0.872 1
Ni1 0.188 0.188 0.188 1
Ni2 0.437 0.437 0.938 1
Ni3 0.437 0.938 0.437 1
Ni4 0.441 0.938 0.938 1
Ni5 0.689 0.689 0.689 1
Ni6 0.938 0.437 0.437 1
Ni7 0.938 0.441 0.938 1
Ni8 0.938 0.938 0.441 1

---

Record 7
# PBE TiGa2Au, optimized geometry
# crystal system	tetragonal
# symmetry	I-42d (122)
# energy of formation from the pure elements	-117	meV/atom
data_TiGa2Au
_symmetry_space_group_name_H-M 'P 1'
_symmetry_Int_Tables_number 1
_symmetry_space_group_name_Hall 'P 1'
_cell_length_a 7.191
_cell_length_b 7.191
_cell_length_c 5.629
_cell_angle_alpha 90.00
_cell_angle_beta 90.00
_cell_angle_gamma 90.00
loop_
_atom_site_label
_atom_site_fract_x
_atom_site_fract_y
_atom_site_fract_z
_atom_site_occupancy
Ti1 0.000 0.000 0.000 1
Ti2 0.000 0.500 0.250 1
Ti3 0.500 0.000 0.750 1
Ti4 0.500 0.500 0.500 1
Ga1 0.237 0.250 0.625 1
Ga2 0.250 0.737 0.875 1
Ga3 0.250 0.763 0.375 1
Ga4 0.263 0.250 0.125 1
Ga5 0.737 0.750 0.125 1
Ga6 0.750 0.237 0.375 1
Ga7 0.750 0.263 0.875 1
Ga8 0.763 0.750 0.625 1
Au1 0.000 0.000 0.500 1
Au2 0.000 0.500 0.750 1
Au3 0.500 0.000 0.250 1
Au4 0.500 0.500 0.000 1

---

Record 8
# PBE Ca2LaMn, optimized geometry
# crystal system	tetragonal
# symmetry	P4mm (99)
# energy of formation from the pure elements	193	meV/atom
# energy relative to the lowest polymorph listed for this composition	0.0	meV/atom
data_Ca2LaMn
_symmetry_space_group_name_H-M 'P 1'
_symmetry_Int_Tables_number 1
_symmetry_space_group_name_Hall 'P 1'
_cell_length_a 3.755
_cell_length_b 3.755
_cell_length_c 9.379
_cell_angle_alpha 90.00
_cell_angle_beta 90.00
_cell_angle_gamma 90.00
loop_
_atom_site_label
_atom_site_fract_x
_atom_site_fract_y
_atom_site_fract_z
_atom_site_occupancy
Ca1 0.000 0.000 0.000 1
Ca2 0.500 0.500 0.308 1
La1 0.000 0.000 0.620 1
Mn1 0.500 0.500 0.799 1

---

Record 9
# PBE SbSeSI2, optimized geometry
# crystal system	tetragonal
# symmetry	P4/mmm (123)
# energy relative to the lowest polymorph listed for this composition	131.9	meV/atom
data_SbSeSI2
_symmetry_space_group_name_H-M 'P 1'
_symmetry_Int_Tables_number 1
_symmetry_space_group_name_Hall 'P 1'
_cell_length_a 5.400
_cell_length_b 5.400
_cell_length_c 6.082
_cell_angle_alpha 90.00
_cell_angle_beta 90.00
_cell_angle_gamma 90.00
loop_
_atom_site_label
_atom_site_fract_x
_atom_site_fract_y
_atom_site_fract_z
_atom_site_occupancy
Sb1 0.000 0.000 0.000 1
Se1 0.000 0.000 0.500 1
S1 0.500 0.500 0.000 1
I1 0.000 0.500 0.500 1
I2 0.500 0.000 0.500 1

---

Record 10
# PBE CeAlGe, optimized geometry
# crystal system	tetragonal
# symmetry	I4_1md (109)
# energy of formation from the pure elements	-597	meV/atom
data_CeAlGe
_symmetry_space_group_name_H-M 'P 1'
_symmetry_Int_Tables_number 1
_symmetry_space_group_name_Hall 'P 1'
_cell_length_a 4.242
_cell_length_b 4.242
_cell_length_c 14.815
_cell_angle_alpha 90.00
_cell_angle_beta 90.00
_cell_angle_gamma 90.00
loop_
_atom_site_label
_atom_site_fract_x
_atom_site_fract_y
_atom_site_fract_z
_atom_site_occupancy
Ce1 0.000 0.000 0.000 1
Ce2 0.000 0.500 0.250 1
Ce3 0.500 0.000 0.750 1
Ce4 0.500 0.500 0.500 1
Al1 0.000 0.000 0.583 1
Al2 0.000 0.500 0.833 1
Al3 0.500 0.000 0.333 1
Al4 0.500 0.500 0.083 1
Ge1 0.000 0.000 0.418 1
Ge2 0.000 0.500 0.668 1
Ge3 0.500 0.000 0.168 1
Ge4 0.500 0.500 0.918 1

---

Record 11
# PBE TaTl2HCl, optimized geometry
# crystal system	tetragonal
# symmetry	P4/mmm (123)
data_TaTl2HCl
_symmetry_space_group_name_H-M 'P 1'
_symmetry_Int_Tables_number 1
_symmetry_space_group_name_Hall 'P 1'
_cell_length_a 5.474
_cell_length_b 5.474
_cell_length_c 3.432
_cell_angle_alpha 90.00
_cell_angle_beta 90.00
_cell_angle_gamma 90.00
loop_
_atom_site_label
_atom_site_fract_x
_atom_site_fract_y
_atom_site_fract_z
_atom_site_occupancy
Ta1 0.000 0.000 0.000 1
Tl1 0.000 0.500 0.500 1
Tl2 0.500 0.000 0.500 1
H1 0.000 0.000 0.500 1
Cl1 0.500 0.500 0.000 1

---

Record 12
# PBE KRbAsS3, optimized geometry
# crystal system	monoclinic
# symmetry	C2/m (12)
data_KRbAsS3
_symmetry_space_group_name_H-M 'P 1'
_symmetry_Int_Tables_number 1
_symmetry_space_group_name_Hall 'P 1'
_cell_length_a 7.353
_cell_length_b 7.353
_cell_length_c 8.855
_cell_angle_alpha 96.29
_cell_angle_beta 96.29
_cell_angle_gamma 67.50
loop_
_atom_site_label
_atom_site_fract_x
_atom_site_fract_y
_atom_site_fract_z
_atom_site_occupancy
K1 0.230 0.770 0.000 1
K2 0.770 0.230 0.000 1
Rb1 0.332 0.332 0.565 1
Rb2 0.668 0.668 0.435 1
As1 0.025 0.025 0.646 1
As2 0.975 0.975 0.354 1
S1 0.100 0.658 0.296 1
S2 0.128 0.128 0.254 1
S3 0.342 0.900 0.704 1
S4 0.658 0.100 0.296 1
S5 0.872 0.872 0.746 1
S6 0.900 0.342 0.704 1

---

Number 1: total moment 0.0 μB per formula unit, E_tot -14.97 eV for the cell shown. Number 2: total moment 2.0 μB per formula unit, E_tot -88.76 eV for the cell shown. Number 3: total moment 3.8 μB per formula unit, E_tot -33.74 eV for the cell shown. Number 4: total moment 0.0 μB per formula unit, E_tot -64.79 eV for the cell shown. Number 5: total moment 3.1 μB per formula unit, E_tot -71.22 eV for the cell shown. Number 6: total moment 0.0 μB per formula unit, E_tot -59.22 eV for the cell shown. Number 7: total moment 0.0 μB per formula unit, E_tot -70.78 eV for the cell shown. Number 8: total moment 3.2 μB per formula unit, E_tot -17.33 eV for the cell shown. Number 9: total moment 0.9 μB per formula unit, E_tot -10.76 eV for the cell shown. Number 10: total moment 1.0 μB per formula unit, E_tot -64.33 eV for the cell shown. Number 11: total moment 0.0 μB per formula unit, E_tot -20.22 eV for the cell shown. Number 12: total moment 0.0 μB per formula unit, E_tot -46.90 eV for the cell shown.